Here is crystalline Be16Nb2B at its relaxed geometry from Alexandria. Energies are from PBE.

Values from the calculation:
Formation energy from the elements, eV per atom: -0.165
Density, Mg/m³: 3.422

a = 5.5258 Å, b = 5.5258 Å, c = 5.5258 Å
α = 83.18°, β = 83.18°, γ = 83.18°
Closest atoms and distances in Å follow each position.
Fractional positions:
Be 0.0686 0.0686 0.0686  1 B 2.04
Be 0.1559 0.4531 0.8605  8 Be 2.09-2.24
Be 0.1559 0.8605 0.4531  8 Be 2.09-2.24
Be 0.1586 0.1586 0.6534  9 Be 2.09-2.30, 1 B 2.20
Be 0.1586 0.6534 0.1586  9 Be 2.09-2.30, 1 B 2.20
Be 0.3173 0.8109 0.8109  9 Be 2.10-2.34
Be 0.4531 0.1559 0.8605  8 Be 2.09-2.24
Be 0.4531 0.8605 0.1559  8 Be 2.09-2.24
Be 0.5017 0.5017 0.9965  8 Be 2.10-2.24, 1 B 2.28
Be 0.5017 0.9965 0.5017  8 Be 2.10-2.24, 1 B 2.28
Be 0.6534 0.1586 0.1586  9 Be 2.09-2.30, 1 B 2.20
Be 0.8109 0.3173 0.8109  9 Be 2.10-2.34
Be 0.8109 0.8109 0.3173  9 Be 2.10-2.34
Be 0.8605 0.1559 0.4531  8 Be 2.09-2.24
Be 0.8605 0.4531 0.1559  8 Be 2.09-2.24
Be 0.9965 0.5017 0.5017  8 Be 2.10-2.24, 1 B 2.28
Nb 0.4928 0.4928 0.4928  1 B 2.47, 15 Be 2.60-2.76
Nb 0.8189 0.8189 0.8189  19 Be 2.59-2.81
B 0.2604 0.2604 0.2604  7 Be 2.04-2.28